No. 1
5
Lattice="-3.0180 2.5509 -1.3910 -2.6872 -3.2133 -0.0625 -1.1050 0.8472 3.9511" Properties=species:S:1:pos:R:3 comment="PBEsol LiSi3O, optimized geometry" magmom_total_mub_per_fu=0.000 raw_formation_energy_ev_per_fu=4.950 total_energy_ev_per_atom=-3.9013 pbc="T T T"
Si -1.3436 -1.6067 -0.0313
Si -0.5525 0.4236 1.9756
Si -1.5090 1.2754 -0.6955
O -3.4051 0.0924 1.2488
Li 0.0000 0.0000 0.0000



No. 2
18
Lattice="-1.7922 -2.6618 -3.5482 5.1260 -2.7131 -0.5539 -4.7090 -3.6928 5.1489" Properties=species:S:1:pos:R:3 comment="PBEsol Li2Si2O5, optimized geometry" magmom_total_mub_per_fu=0.001 polymorph_energy_ev_per_atom=0.0000 raw_formation_energy_ev_per_fu=-23.816 total_energy_ev_per_atom=-7.2766 pbc="T T T"
Li -1.1835 -6.9984 2.0051
Li 3.9280 -3.1360 -0.2492
Li -3.8543 -3.7796 4.1646
Li -0.5350 -2.5790 -1.6378
O 0.1468 -3.2945 2.1754
O -3.3123 -3.2689 0.6783
O -1.8416 -5.0702 1.9516
O 0.7933 -5.4799 -2.2972
O -3.7147 -5.8840 0.2831
O 0.7125 -3.6319 -0.4175
O -1.9304 -7.8918 0.4545
O 3.0663 -4.2996 -1.5390
O -4.4363 -4.7602 2.5962
O -1.2319 -3.8299 -2.9455
Si -0.8808 -4.2306 3.0125
Si 1.6638 -4.8527 -1.0313
Si -3.3759 -4.7152 1.4112
Si 0.9610 -2.6755 0.9156



No. 3
36
Lattice="4.7952 0.0000 0.0000 0.0000 5.6776 0.0000 0.0000 0.0000 14.6795" Properties=species:S:1:pos:R:3 comment="PBEsol Li2Si2O5, optimized geometry" magmom_total_mub_per_fu=0.000 polymorph_energy_ev_per_atom=0.0044 raw_formation_energy_ev_per_fu=-23.776 total_energy_ev_per_atom=-7.2722 pbc="T T T"
Li 3.8647 5.1215 6.5938
Li 3.3281 3.3950 13.9336
Li 3.8647 0.5562 0.7459
Li 3.3281 2.2827 8.0857
Li 0.9305 0.5562 8.0857
Li 1.4671 2.2827 0.7459
Li 0.9305 5.1215 13.9336
Li 1.4671 3.3950 6.5938
O 3.5532 2.8388 3.6699
O 3.6395 0.0000 11.0096
O 1.2419 2.8388 11.0096
O 1.1556 0.0000 3.6699
O 3.4020 3.2769 6.3480
O 3.7908 5.2396 13.6878
O 3.4020 2.4008 0.9918
O 3.7908 0.4381 8.3315
O 1.3932 2.4008 8.3315
O 1.0044 0.4381 0.9918
O 1.3932 3.2769 13.6878
O 1.0044 5.2396 6.3480
O 3.0906 0.8416 5.3080
O 4.1021 1.9972 12.6477
O 3.0906 4.8360 2.0318
O 4.1021 3.6804 9.3715
O 1.7046 4.8360 9.3715
O 0.6930 3.6804 2.0318
O 1.7046 0.8416 12.6477
O 0.6930 1.9972 5.3080
Si 3.8653 2.3083 5.1693
Si 3.3275 0.5305 12.5091
Si 3.8653 3.3693 2.1705
Si 3.3275 5.1471 9.5102
Si 0.9299 3.3693 9.5102
Si 1.4677 5.1471 2.1705
Si 0.9299 2.3083 12.5091
Si 1.4677 0.5305 5.1693



No. 4
126
Lattice="6.0513 0.0000 0.0000 0.0000 11.5537 -0.0171 0.0000 -2.6213 16.4628" Properties=species:S:1:pos:R:3 comment="PBEsol Li4SiO4, optimized geometry" magmom_total_mub_per_fu=0.000 raw_formation_energy_ev_per_fu=-21.521 total_energy_ev_per_atom=-6.2369 pbc="T T T"
Li 5.8994 6.7876 16.3198
Li 2.8738 2.1448 0.1259
Li 0.2009 2.2113 0.2894
Li 3.2266 6.7211 16.1562
Li 4.4467 0.8995 14.1555
Li 1.4210 8.0329 2.2901
Li 3.0155 5.5878 9.7250
Li 6.0411 3.3446 6.7206
Li 3.0654 3.3354 6.7177
Li 0.0397 5.5970 9.7280
Li 1.4321 7.7236 14.0953
Li 4.4578 1.2088 2.3503
Li 0.0117 7.9669 8.9766
Li 3.0373 0.9655 7.4690
Li 0.0369 0.9815 7.4896
Li 3.0626 7.9509 8.9560
Li 1.4914 -2.5841 16.2302
Li 4.5170 11.5165 0.2154
Li 0.0375 3.1928 14.5358
Li 3.0632 5.7395 1.9099
Li 6.0109 5.7338 1.9142
Li 2.9852 3.1986 14.5315
Li 2.7902 7.7617 6.5963
Li 5.8158 1.1707 9.8494
Li 3.2687 1.1545 9.8416
Li 0.2431 7.7779 6.6041
Li 4.5496 4.2414 16.1744
Li 1.5239 4.6910 0.2713
Li 5.9976 5.4830 13.6218
Li 2.9719 3.4493 2.8238
Li 0.0575 3.4460 2.8412
Li 3.0832 5.4864 13.6044
Li 1.5104 4.4320 11.9174
Li 4.5360 4.5003 4.5283
Li 4.5598 10.1347 7.0508
Li 1.5341 -1.2023 9.3948
Li 4.5683 6.6011 11.4453
Li 1.5426 2.3313 5.0004
Li 1.5189 5.5821 7.3453
Li 4.5445 3.3503 9.1004
Li 5.9326 9.1524 11.6967
Li 2.9069 -0.2200 4.7490
Li 0.2300 -0.1471 4.9011
Li 3.2557 9.0795 11.5446
Li 2.8146 1.9437 12.0680
Li 5.8403 6.9887 4.3776
Li 3.2123 6.9933 4.3655
Li 0.1867 1.9390 12.0801
Li 4.5370 -0.3358 12.1015
Li 1.5113 9.2682 4.3441
Li 1.5170 -0.2766 11.6334
Li 4.5427 9.2090 4.8122
Li 2.7054 10.1787 1.9911
Li 5.7311 -1.2463 14.4546
Li 5.7379 10.5792 2.5779
Li 2.7122 -1.6468 13.8678
Si 1.5444 7.3628 11.6576
Si 4.5701 1.5695 4.7881
Si 4.5083 8.0941 14.0834
Si 1.4826 0.8383 2.3623
Si 4.5398 3.6548 11.7443
Si 1.5141 5.2775 4.7013
Si 1.5404 9.9937 6.9235
Si 4.5660 -1.0613 9.5222
Si 1.4650 0.5753 14.1778
Si 4.4906 8.3571 2.2678
Si 1.5274 4.9972 16.3497
Si 4.5531 3.9352 0.0960
Si 1.5206 2.9321 9.4097
Si 4.5463 6.0003 7.0360
O 2.8686 9.8095 5.9357
O 5.8943 -0.8771 10.5100
O 3.2247 -0.8751 10.4920
O 0.1991 9.8075 5.9537
O 1.5363 -0.1680 7.7662
O 4.5619 9.1004 8.6795
O 2.7742 0.3358 13.1732
O 5.7999 8.5965 3.2725
O 3.1345 8.5520 3.2164
O 0.1089 0.3804 13.2293
O 2.8842 4.9357 15.4363
O 5.9099 3.9967 1.0093
O 3.1783 3.9544 0.9836
O 0.1527 4.9780 15.4621
O 5.8093 8.3161 15.1050
O 2.7837 0.6163 1.3407
O 0.1210 0.6533 1.4155
O 3.1467 8.2791 15.0302
O 1.5152 2.0469 14.8325
O 4.5408 6.8855 1.6132
O 4.5534 4.7623 10.5382
O 1.5277 4.1701 5.9075
O 1.5100 6.5023 1.0856
O 4.5356 2.4301 15.3600
O 4.5480 6.6610 13.3490
O 1.5223 2.2714 3.0967
O 5.8889 3.7355 12.6769
O 2.8632 5.1969 3.7688
O 0.1601 5.1977 3.7769
O 3.1858 3.7346 12.6688
O 1.4636 -0.6783 15.2694
O 4.4893 9.6106 1.1762
O 2.8997 7.3183 10.7383
O 5.9253 1.6141 5.7074
O 3.1971 1.5663 5.6806
O 0.1714 7.3661 10.7651
O 1.5253 4.4595 9.9754
O 4.5509 4.4729 6.4703
O 1.5114 1.7936 10.6585
O 4.5370 7.1388 5.7872
O 1.5138 6.2193 12.8216
O 4.5394 2.7131 3.6241
O 2.8719 2.6171 8.5313
O 5.8975 6.3153 7.9144
O 3.1919 6.3033 7.9105
O 0.1662 2.6290 8.5351
O 4.5355 2.1016 11.0894
O 1.5099 6.8308 5.3563
O 1.5923 8.8410 12.4617
O 4.6180 0.0913 3.9840
O 1.5411 8.7427 7.9879
O 4.5668 0.1896 8.4578
O 1.5667 9.1199 0.6454
O 4.5924 -0.1876 15.8003
O 4.5143 9.3738 13.0200
O 1.4886 -0.4414 3.4256



No. 5
48
Lattice="4.8832 0.0000 0.0000 0.0000 5.9994 0.0000 0.0000 0.0000 19.7313" Properties=species:S:1:pos:R:3 comment="PBEsol Li2Si3O7, optimized geometry" magmom_total_mub_per_fu=0.000 raw_formation_energy_ev_per_fu=-32.239 total_energy_ev_per_atom=-7.5132 pbc="T T T"
Li 4.5996 3.8695 18.8639
Li 0.2836 2.1298 0.8674
Li 2.7251 3.8695 0.8674
Li 2.7251 3.8695 8.9982
Li 2.1580 2.1298 18.8639
Li 4.5996 3.8695 10.7331
Li 2.1580 2.1298 10.7331
Li 0.2836 2.1298 8.9982
Si 0.2584 5.1201 7.8185
Si 0.3946 3.9080 4.9328
Si 2.7000 0.8793 7.8185
Si 2.0470 3.9080 14.7985
Si 4.4886 2.0914 14.7985
Si 4.6248 0.8793 17.6841
Si 2.7000 0.8793 2.0472
Si 2.1832 5.1201 11.9128
Si 2.1832 5.1201 17.6841
Si 0.2584 5.1201 2.0472
Si 2.8362 2.0914 4.9328
Si 4.6248 0.8793 11.9128
O 4.6496 3.9555 1.0839
O 1.8591 5.4675 1.7684
O 4.8201 1.1990 13.4949
O 0.2336 2.0439 18.6474
O 0.4851 3.4615 14.7985
O 0.5825 5.4675 11.6341
O 4.3981 2.5379 4.9328
O 0.0630 4.8003 3.6292
O 2.6751 3.9555 10.9496
O 1.9565 3.4615 4.9328
O 2.2080 2.0439 1.0839
O 2.5046 1.1990 3.6292
O 3.0241 0.5319 11.6341
O 2.5046 1.1990 6.2365
O 2.2080 2.0439 8.7818
O 0.2336 2.0439 10.9496
O 0.0630 4.8003 6.2365
O 3.0241 0.5319 17.9629
O 0.5825 5.4675 17.9629
O 2.9267 2.5379 14.7985
O 2.3785 4.8003 13.4949
O 1.8591 5.4675 8.0972
O 2.3785 4.8003 16.1021
O 4.6496 3.9555 8.7818
O 4.8201 1.1990 16.1021
O 2.6751 3.9555 18.6474
O 4.3007 0.5319 1.7684
O 4.3007 0.5319 8.0972



No. 6
5
Lattice="-0.2980 -0.8080 -3.9376 -1.1019 -3.7807 0.8592 -3.9284 1.1584 0.0596" Properties=species:S:1:pos:R:3 comment="PBEsol SrLiSiO2, optimized geometry" magmom_total_mub_per_fu=0.000 raw_formation_energy_ev_per_fu=-1.199 total_energy_ev_per_atom=-4.2503 pbc="T T T"
Sr -1.9642 0.5792 0.0298
Si -2.6641 -1.7151 -1.5094
O -0.5509 -1.8904 0.4296
O -0.1490 -0.4040 -1.9688
Li 0.0000 0.0000 0.0000



Number 1: theoretical density 2.42 g cm⁻³. Number 2: theoretical density 2.44 g cm⁻³. Number 3: theoretical density 2.49 g cm⁻³. Number 4: theoretical density 2.42 g cm⁻³. Number 5: theoretical density 2.41 g cm⁻³. Number 6: theoretical density 3.86 g cm⁻³.